# K4Sm3SbS8 | Alexandria | PBE | optimized geometry
# Uncorrected formation energy: -1.57 eV per atom
data_K4Sm3SbS8
_cell_length_a 8.2661
_cell_length_b 8.2661
_cell_length_c 22.1148
_cell_angle_alpha 90.00
_cell_angle_beta 90.00
_cell_angle_gamma 120.00
_symmetry_space_group_name_H-M 'R -3 m'
_symmetry_Int_Tables_number 166
_symmetry_space_group_name_Hall '-R 3 2"'
loop_
_atom_site_label
_atom_site_type_symbol
_atom_site_fract_x
_atom_site_fract_y
_atom_site_fract_z
_atom_site_occupancy
K1 K 0.0000 0.0000 0.0000 1
K2 K 0.0000 0.5000 0.0000 1
Sm1 Sm 0.0000 0.5000 0.5000 1
Sb1 Sb 0.0000 0.0000 0.5000 1
S1 S 0.0000 0.0000 0.2353 1
S2 S 0.0028 0.5014 0.2347 1